This record from Alexandria describes crystalline As2Au at its relaxed geometry. The functional is PBE.

The formation energy is 0.101 eV/atom.

The structure belongs to space group I4/mmm (No. 139); the cell edges are 3.5509, 3.5509 and 11.4702 Å and the angles 90.00°, 90.00° and 90.00°. The asymmetric unit holds As at (0.0000, 0.0000, 0.2144) and Au at (0.0000, 0.0000, 0.0000).